## a
First-principles (PBE) data for a geometry-optimized RbBa2I5 structure, as listed in Alexandria via LeMat-Bulk.

a b c (Å): 10.562 9.405 15.142
angles (deg): 90.00 90.01 90.00
Space group P2_1/c (No. 14)
Inequivalent atoms, fractional coordinates:
Rb: 0.008 0.039 0.328 (multiplicity 4)
Ba: 0.249 0.574 0.493 (multiplicity 4)
Ba: 0.498 0.524 0.179 (multiplicity 4)
I: 0.039 0.168 0.093 (multiplicity 4)
I: 0.268 0.695 0.718 (multiplicity 4)
I: 0.279 0.543 0.998 (multiplicity 4)
I: 0.282 0.170 0.817 (multiplicity 4)
I: 0.459 0.162 0.100 (multiplicity 4)

Calculated values
density of states at the Fermi level	0.0	states/eV/cell

---

## b
First-principles (PBE) data for a geometry-optimized RbBa2I5 structure, as listed in Alexandria via LeMat-Bulk.

a b c (Å): 5.224 8.673 18.059
angles (deg): 90.00 90.00 90.00
Space group Immm (No. 71)
Inequivalent atoms, fractional coordinates:
Rb: 0.000 0.000 0.000 (multiplicity 2)
Ba: 0.000 0.500 0.187 (multiplicity 4)
I: 0.000 0.266 0.349 (multiplicity 8)
I: 0.000 0.500 0.000 (multiplicity 2)

Calculated values
density of states at the Fermi level	0.0	states/eV/cell

---

Question: which arrangement is favored energetically? Ranking from most to least stable: a, b.

---

## a
First-principles (PBE) data for a geometry-optimized Rb2BaI4 structure, as listed in Alexandria via LeMat-Bulk.

a b c (Å): 6.739 6.739 18.947
angles (deg): 90.00 90.00 90.00
Space group I4/mmm (No. 139)
Inequivalent atoms, fractional coordinates:
Rb: 0.000 0.000 0.136 (multiplicity 4)
Ba: 0.000 0.000 0.500 (multiplicity 2)
I: 0.000 0.000 0.322 (multiplicity 4)
I: 0.000 0.500 0.000 (multiplicity 4)

Calculated values
density of states at the Fermi level	0.0	states/eV/cell

---

## b
First-principles (PBE) data for a geometry-optimized Rb2BaI4 structure, as listed in Alexandria via LeMat-Bulk.

a b c (Å): 17.331 5.188 9.640
angles (deg): 90.00 116.31 90.00
Space group C2/m (No. 12)
Inequivalent atoms, fractional coordinates:
Rb: 0.198 0.000 0.184 (multiplicity 4)
Ba: 0.000 0.500 0.500 (multiplicity 2)
I: 0.107 0.500 0.895 (multiplicity 4)
I: 0.142 0.000 0.518 (multiplicity 4)

Calculated values
density of states at the Fermi level	0.0	states/eV/cell

---

Question: which arrangement is favored energetically? Ranking from most to least stable: b, a.

---

## a
First-principles (PBE) data for a geometry-optimized Rb2BaSrI6 structure, as listed in Alexandria via LeMat-Bulk.

a b c (Å): 8.792 9.332 15.286
angles (deg): 90.00 124.83 90.00
Space group P2_1/c (No. 14)
Inequivalent atoms, fractional coordinates:
Rb: 0.218 0.083 0.250 (multiplicity 4)
Ba: 0.500 0.000 0.000 (multiplicity 2)
Sr: 0.000 0.000 0.500 (multiplicity 2)
I: 0.117 0.204 0.931 (multiplicity 4)
I: 0.236 0.692 0.935 (multiplicity 4)
I: 0.375 0.048 0.743 (multiplicity 4)

Calculated values
density of states at the Fermi level	0.0	states/eV/cell

---

## b
First-principles (PBE) data for a geometry-optimized Rb2BaSrI6 structure, as listed in Alexandria via LeMat-Bulk.

a b c (Å): 13.210 13.210 13.210
angles (deg): 90.00 90.00 90.00
Space group Fm-3m (No. 225)
Inequivalent atoms, fractional coordinates:
Rb: 0.250 0.250 0.250 (multiplicity 8)
Ba: 0.000 0.000 0.000 (multiplicity 4)
Sr: 0.000 0.000 0.500 (multiplicity 4)
I: 0.000 0.000 0.256 (multiplicity 24)

Calculated values
density of states at the Fermi level	0.0	states/eV/cell

---

Question: which arrangement is favored energetically? Ranking from most to least stable: a, b.

---

## a
First-principles (PBE) data for a geometry-optimized RbBaTeI2 structure, as listed in Alexandria via LeMat-Bulk.

a b c (Å): 6.771 6.771 6.763
angles (deg): 90.00 90.00 90.00
Space group P4/mmm (No. 123)
Inequivalent atoms, fractional coordinates:
Rb: 0.000 0.000 0.000 (multiplicity 1)
Ba: 0.500 0.500 0.500 (multiplicity 1)
Te: 0.500 0.500 0.000 (multiplicity 1)
I: 0.000 0.500 0.500 (multiplicity 2)

Calculated values
density of states at the Fermi level	6.6	states/eV/cell

---

## b
First-principles (PBE) data for a geometry-optimized RbBaTeI2 structure, as listed in Alexandria via LeMat-Bulk.

a b c (Å): 6.452 6.452 6.347
angles (deg): 90.00 90.00 90.00
Space group P4/mmm (No. 123)
Inequivalent atoms, fractional coordinates:
Rb: 0.000 0.000 0.000 (multiplicity 1)
Ba: 0.500 0.500 0.500 (multiplicity 1)
Te: 0.000 0.000 0.500 (multiplicity 1)
I: 0.000 0.500 0.000 (multiplicity 2)

Calculated values
density of states at the Fermi level	5.9	states/eV/cell

---

Question: which arrangement is favored energetically? Ranking from most to least stable: a, b.